First-principles (PBE) data for crystalline TbCeDy5Tm2 at its relaxed geometry, as listed in the Alexandria database.

Summary:
Total magnetic moment: 0.07 μB per atom
Symmetry: Cmc2_1
Energy of formation: 1.56 eV/f.u.

Cell: 5.6636 11.0507 9.5268 Å, 90.00 90.00 104.85°
With the nearest neighbours (Å) after each atom.
Fractional positions:
Tb (0.4030, 0.8061, 0.4257)  3 Dy 3.04-3.38
Tb (0.5970, 0.1939, 0.9257)  3 Dy 3.04-3.38
Dy (0.3054, 0.6108, 0.7128)  2 Ce 3.37, 5 Dy 3.42-3.73, 1 Tb 3.44, 3 Tm 3.48-3.68
Dy (0.6062, 0.2124, 0.5429)  2 Dy 3.26-3.49, 4 Tm 3.29-3.53, 1 Tb 3.65
Dy (0.0136, 0.0273, 0.0127)  3 Tm 3.26-3.64, 2 Tb 3.45, 2 Dy 3.62
Dy (0.5292, 0.0585, 0.2469)  2 Tb 3.19-3.38, 3 Dy 3.26-3.55, 2 Tm 3.43
Dy (0.6946, 0.3892, 0.2128)  2 Ce 3.37, 5 Dy 3.42-3.73, 1 Tb 3.44, 3 Tm 3.48-3.68
Dy (0.2673, 0.5346, 0.3308)  1 Tb 3.04, 1 Tm 3.29, 1 Ce 3.36
Dy (0.9864, 0.9727, 0.5127)  3 Tm 3.26-3.64, 2 Tb 3.45, 2 Dy 3.62
Dy (0.7327, 0.4654, 0.8308)  1 Tb 3.04, 1 Tm 3.29, 1 Ce 3.36
Dy (0.4708, 0.9415, 0.7469)  2 Tb 3.19-3.38, 3 Dy 3.26-3.55, 2 Tm 3.43
Dy (0.3938, 0.7876, 0.0429)  2 Dy 3.26-3.49, 4 Tm 3.29-3.53, 1 Tb 3.65
Ce (0.8085, 0.6170, 0.5218)  2 Tm 3.24-3.31, 5 Dy 3.36-3.48, 2 Tb 3.60
Ce (0.1915, 0.3830, 0.0218)  2 Tm 3.24-3.31, 5 Dy 3.36-3.48, 2 Tb 3.60
Tm (0.1136, 0.2271, 0.3227)  9 Dy 3.26-3.64, 1 Ce 3.31
Tm (0.1331, 0.2661, 0.7077)  1 Ce 3.24, 2 Dy 3.29, 2 Tb 3.60
Tm (0.8864, 0.7729, 0.8227)  9 Dy 3.26-3.64, 1 Ce 3.31
Tm (0.8669, 0.7339, 0.2077)  1 Ce 3.24, 2 Dy 3.29, 2 Tb 3.60